(1)
Entry from Alexandria: a geometry-optimized Rb3OsPt structure (PBE).

Cell: 6.351 6.351 6.351 Å, 90.00 90.00 90.00°
Each line ends with the local moment (μB).
Fractional positions:
Rb 0.000 0.000 0.500  0.00
Rb 0.500 0.000 0.000  0.00
Rb 0.000 0.500 0.000  0.00
Pt 0.000 0.000 0.000  0.03
Os 0.500 0.500 0.500  2.58

=====

(2)
Entry from Alexandria: a geometry-optimized ReW2 structure (PBE).

Summary:
For the relative energy among the computed polymorphs, the calculation gives 338 meV/atom.

Cell: 4.629 4.629 5.214 Å, 90.00 90.00 120.00°
Fractional positions:
Re 0.333 0.667 0.250
Re 0.667 0.333 0.750
W 0.333 0.667 0.750
W 0.667 0.333 0.250
W 0.000 0.000 0.500
W 0.000 0.000 0.000

=====

Number 1: formation energy 126 kJ per mole of atoms, raw total energy -2.725 eV/atom. Number 2: formation energy 37 kJ per mole of atoms, raw total energy -12.398 eV/atom.